Record 1
The following is a DFT calculation (PBE-GGA) of YAl2Tl after structural relaxation.

The calculation puts the formation energy at -0.262 eV/atom. For the polymorph energy (0 for the lowest one), the calculation gives 0.000 eV/atom. The value obtained for the total magnetization is 0.0 μB/f.u.

It has space group P4/mmm (No. 123), with a = 4.477 Å, b = 4.477 Å, c = 4.387 Å, α = 90.00°, β = 90.00° and γ = 90.00°. The distinct sites, in fractional coordinates, are Y at (0.000, 0.000, 0.000), Al at (0.000, 0.500, 0.500) and Tl at (0.500, 0.500, 0.000).

---

Record 2
The following is a DFT calculation (PBE-GGA) of YAl2Tl after structural relaxation.

The calculation puts the formation energy at -0.186 eV/atom. For the polymorph energy (0 for the lowest one), the calculation gives 0.076 eV/atom. The value obtained for the total magnetization is 0.0 μB/f.u.

It has space group I-4m2 (No. 119), with a = 4.314 Å, b = 4.314 Å, c = 9.570 Å, α = 90.00°, β = 90.00° and γ = 90.00°. The distinct sites, in fractional coordinates, are Y at (0.000, 0.000, 0.000), Al at (0.000, 0.000, 0.500), Al at (0.000, 0.500, 0.750) and Tl at (0.000, 0.500, 0.250).

---

Record 3
The following is a DFT calculation (PBE-GGA) of Y5AlTl2 after structural relaxation.

The calculation puts the formation energy at -0.334 eV/atom. The value obtained for the total magnetization is 0.0 μB/f.u.

It has space group Pbam (No. 55), with a = 6.814 Å, b = 12.924 Å, c = 5.095 Å, α = 90.00°, β = 90.00° and γ = 90.00°. The distinct sites, in fractional coordinates, are Y at (0.000, 0.000, 0.000), Y at (0.140, 0.278, 0.000), Y at (0.163, 0.598, 0.500), Al at (0.000, 0.500, 0.000) and Tl at (0.115, 0.847, 0.500).

---

Record 4
The following is a DFT calculation (PBE-GGA) of YAl2Tl after structural relaxation.

The calculation puts the formation energy at 0.095 eV/atom. For the polymorph energy (0 for the lowest one), the calculation gives 0.357 eV/atom. The value obtained for the total magnetization is 0.0 μB/f.u.

It has space group R-3m (No. 166, hexagonal axes), with a = 3.3592 Å, b = 3.3592 Å, c = 30.1402 Å, α = 90.00°, β = 90.00° and γ = 120.00°. The distinct sites, in fractional coordinates, are Y at (0.0000, 0.0000, 0.0000), Al at (0.0000, 0.0000, 0.2506) and Tl at (0.0000, 0.0000, 0.5000).

---

Record 5
The following is a DFT calculation (PBE-GGA) of Y4AlTl after structural relaxation.

The calculation puts the formation energy at -0.040 eV/atom. For the polymorph energy (0 for the lowest one), the calculation gives 0.044 eV/atom. The value obtained for the total magnetization is 0.0 μB/f.u.

It has space group Pmmm (No. 47), with a = 3.750 Å, b = 5.672 Å, c = 8.488 Å, α = 90.00°, β = 90.00° and γ = 90.00°. The distinct sites, in fractional coordinates, are Y at (0.000, 0.000, 0.198), Y at (0.500, 0.500, 0.285), Al at (0.000, 0.500, 0.000) and Tl at (0.500, 0.000, 0.500).

---

Record 6
The following is a DFT calculation (PBE-GGA) of YAl2Tl2 after structural relaxation.

The calculation puts the formation energy at 0.012 eV/atom. For the polymorph energy (0 for the lowest one), the calculation gives 0.000 eV/atom. The value obtained for the total magnetization is 0.0 μB/f.u.

It has space group P4/mbm (No. 127), with a = 8.014 Å, b = 8.014 Å, c = 3.756 Å, α = 90.00°, β = 90.00° and γ = 90.00°. The distinct sites, in fractional coordinates, are Y at (0.000, 0.000, 0.000), Al at (0.120, 0.380, 0.000) and Tl at (0.177, 0.677, 0.500).

---

Record 7
The following is a DFT calculation (PBE-GGA) of YAl2Tl after structural relaxation.

The calculation puts the formation energy at 0.051 eV/atom. For the polymorph energy (0 for the lowest one), the calculation gives 0.313 eV/atom. The value obtained for the total magnetization is 0.0 μB/f.u.

It has space group I-42d (No. 122), with a = 8.008 Å, b = 8.008 Å, c = 6.123 Å, α = 90.00°, β = 90.00° and γ = 90.00°. The distinct sites, in fractional coordinates, are Y at (0.000, 0.000, 0.000), Al at (0.221, 0.250, 0.625) and Tl at (0.000, 0.000, 0.500).

---

Record 8
The following is a DFT calculation (PBE-GGA) of YAl2Tl after structural relaxation.

The calculation puts the formation energy at -0.120 eV/atom. For the polymorph energy (0 for the lowest one), the calculation gives 0.142 eV/atom. The value obtained for the total magnetization is 0.2 μB/f.u.

It has space group P4mm (No. 99), with a = 3.615 Å, b = 3.615 Å, c = 6.976 Å, α = 90.00°, β = 90.00° and γ = 90.00°. The distinct sites, in fractional coordinates, are Y at (0.000, 0.000, 0.000), Al at (0.000, 0.000, 0.447), Al at (0.500, 0.500, 0.268) and Tl at (0.500, 0.500, 0.693).

---

Record 9
The following is a DFT calculation (PBE-GGA) of Y4AlTl after structural relaxation.

The calculation puts the formation energy at -0.084 eV/atom. For the polymorph energy (0 for the lowest one), the calculation gives 0.000 eV/atom. The value obtained for the total magnetization is 0.0 μB/f.u.

It has space group R-3m (No. 166, hexagonal axes), with a = 5.1132 Å, b = 5.1132 Å, c = 25.2553 Å, α = 90.00°, β = 90.00° and γ = 120.00°. The distinct sites, in fractional coordinates, are Y at (0.0000, 0.0000, 0.1210), Y at (0.0000, 0.0000, 0.3715), Al at (0.0000, 0.0000, 0.0000) and Tl at (0.0000, 0.0000, 0.5000).

---

Record 10
The following is a DFT calculation (PBE-GGA) of YAl2Tl after structural relaxation.

The calculation puts the formation energy at -0.121 eV/atom. For the polymorph energy (0 for the lowest one), the calculation gives 0.141 eV/atom. The value obtained for the total magnetization is 0.0 μB/f.u.

It has space group Pmmm (No. 47), with a = 3.346 Å, b = 4.666 Å, c = 5.948 Å, α = 90.00°, β = 90.00° and γ = 90.00°. The distinct sites, in fractional coordinates, are Y at (0.000, 0.000, 0.000), Al at (0.500, 0.500, 0.223) and Tl at (0.500, 0.000, 0.500).

---

Record 11
The following is a DFT calculation (PBE-GGA) of Y2AlTl2 after structural relaxation.

The calculation puts the formation energy at -0.284 eV/atom. For the polymorph energy (0 for the lowest one), the calculation gives 0.000 eV/atom. The value obtained for the total magnetization is 0.0 μB/f.u.

It has space group P4/mbm (No. 127), with a = 7.461 Å, b = 7.461 Å, c = 4.698 Å, α = 90.00°, β = 90.00° and γ = 90.00°. The distinct sites, in fractional coordinates, are Y at (0.169, 0.331, 0.000), Al at (0.000, 0.000, 0.500) and Tl at (0.140, 0.640, 0.500).

---

Record 12
The following is a DFT calculation (PBE-GGA) of YAl2Tl2 after structural relaxation.

The calculation puts the formation energy at 0.071 eV/atom. For the polymorph energy (0 for the lowest one), the calculation gives 0.059 eV/atom. The value obtained for the total magnetization is 0.0 μB/f.u.

It has space group I4/mmm (No. 139), with a = 4.079 Å, b = 4.079 Å, c = 14.828 Å, α = 90.00°, β = 90.00° and γ = 90.00°. The distinct sites, in fractional coordinates, are Y at (0.000, 0.000, 0.000), Al at (0.000, 0.500, 0.250) and Tl at (0.000, 0.000, 0.390).

---

- Which value of total magnetization does entry 2 give?
  0.0 μB/f.u.

---

- Which of these has the highest total magnetization?
  number 8